[1]
Entry from the Alexandria database: a relaxed structure of AcHf2ZrO8 (PBE).

Properties
Energy: -9.18 eV per atom
Size of the total moment: 0.65 μB per formula unit
Crystal system: orthorhombic
SG: Cmmm, No. 65

Structure (POSCAR):
```
AcHf2ZrO8
1.0
3.501 -3.579 0.000
3.501 3.579 0.000
0.000 0.000 6.973
Ac Hf Zr O
1 2 1 8
Direct
0.000 0.000 0.000
0.500 0.500 0.268
0.500 0.500 0.732
0.000 0.000 0.500
0.207 0.207 0.283
0.207 0.207 0.717
0.309 0.691 0.500
0.339 0.661 0.000
0.661 0.339 0.000
0.691 0.309 0.500
0.793 0.793 0.283
0.793 0.793 0.717
```

=====

[2]
Entry from the Alexandria database: a relaxed structure of AcHfZrO6 (PBE).

Properties
Energy: -8.96 eV per atom
Size of the total moment: 0.98 μB per formula unit
Crystal system: trigonal
SG: P-31c, No. 163

Structure (POSCAR):
```
AcHfZrO6
1.0
5.599 0.000 0.000
-2.800 4.849 0.000
0.000 0.000 10.453
Ac Hf Zr O
2 2 2 12
Direct
0.000 0.000 0.000
0.000 0.000 0.500
0.333 0.667 0.250
0.667 0.333 0.750
0.333 0.667 0.750
0.667 0.333 0.250
0.004 0.370 0.142
0.004 0.635 0.358
0.365 0.370 0.358
0.365 0.996 0.142
0.370 0.004 0.642
0.370 0.365 0.858
0.630 0.635 0.142
0.630 0.996 0.358
0.635 0.004 0.858
0.635 0.630 0.642
0.996 0.365 0.642
0.996 0.630 0.858
```

=====

[3]
Entry from the Alexandria database: a relaxed structure of AcHfP2 (PBE).

Properties
Energy: -7.44 eV per atom
Polymorph energy (0 for the lowest one): 0.35 eV/f.u.
Size of the total moment: 0.00 μB per formula unit
Crystal system: trigonal
SG: R3m, No. 160
ΔE_f: -1215 meV per atom

Structure (POSCAR):
```
AcHfP2
1.0
1.957 1.130 7.080
-1.957 1.130 7.080
0.000 -2.260 7.080
Ac Hf P
1 1 2
Direct
0.000 0.000 0.000
0.173 0.173 0.173
0.572 0.572 0.572
0.769 0.769 0.769
```

=====

[4]
Entry from the Alexandria database: a relaxed structure of AcHfP2 (PBE).

Properties
Energy: -7.52 eV per atom
Polymorph energy (0 for the lowest one): 0.00 eV/f.u.
Size of the total moment: 0.00 μB per formula unit
Crystal system: trigonal
SG: R-3m, No. 166
ΔE_f: -1302 meV per atom

Structure (POSCAR):
```
AcHfP2
1.0
1.990 1.149 6.795
-1.990 1.149 6.795
0.000 -2.298 6.795
Ac Hf P
1 1 2
Direct
0.000 0.000 0.000
0.500 0.500 0.500
0.235 0.235 0.235
0.765 0.765 0.765
```

=====

[5]
Entry from the Alexandria database: a relaxed structure of AcHfP3 (PBE).

Properties
Energy: -6.80 eV per atom
Size of the total moment: 0.00 μB per formula unit
Crystal system: cubic
SG: Pm-3m, No. 221
ΔE_f: -738 meV per atom

Structure (POSCAR):
```
AcHfP3
1.0
4.979 0.000 0.000
0.000 4.979 0.000
0.000 0.000 4.979
Ac Hf P
1 1 3
Direct
0.000 0.000 0.000
0.500 0.500 0.500
0.000 0.500 0.500
0.500 0.000 0.500
0.500 0.500 0.000
```

=====

[6]
Entry from the Alexandria database: a relaxed structure of AcHf2P4Pd (PBE).

Properties
Energy: -7.42 eV per atom
Size of the total moment: 0.00 μB per formula unit
Crystal system: orthorhombic
SG: Cmcm, No. 63
ΔE_f: -1069 meV per atom

Structure (POSCAR):
```
AcHf2P4Pd
1.0
1.935 -6.530 0.000
1.935 6.530 0.000
0.000 0.000 13.136
Ac Hf P Pd
2 4 8 2
Direct
0.119 0.881 0.750
0.881 0.119 0.250
0.372 0.628 0.562
0.372 0.628 0.938
0.628 0.372 0.062
0.628 0.372 0.438
0.000 0.000 0.000
0.000 0.000 0.500
0.264 0.736 0.106
0.264 0.736 0.394
0.447 0.553 0.750
0.553 0.447 0.250
0.736 0.264 0.606
0.736 0.264 0.894
0.151 0.849 0.250
0.849 0.151 0.750
```

=====

[7]
Entry from the Alexandria database: a relaxed structure of Ac2HfP3Rh12 (PBE).

Properties
Energy: -7.13 eV per atom
Size of the total moment: 0.00 μB per formula unit
Crystal system: trigonal
SG: R-3m, No. 166
ΔE_f: -321 meV per atom

Structure (POSCAR):
```
Ac2HfP3Rh12
1.0
4.261 2.460 5.338
-4.261 2.460 5.338
0.000 -4.920 5.338
Ac Hf P Rh
2 1 3 12
Direct
0.107 0.107 0.107
0.893 0.893 0.893
0.500 0.500 0.500
0.000 0.500 0.500
0.500 0.000 0.500
0.500 0.500 0.000
0.129 0.641 0.641
0.179 0.179 0.592
0.179 0.592 0.179
0.359 0.359 0.871
0.359 0.871 0.359
0.408 0.821 0.821
0.592 0.179 0.179
0.641 0.129 0.641
0.641 0.641 0.129
0.821 0.408 0.821
0.821 0.821 0.408
0.871 0.359 0.359
```

=====

[8]
Entry from the Alexandria database: a relaxed structure of AcHfPaS6 (PBE).

Properties
Energy: -7.08 eV per atom
Size of the total moment: 0.00 μB per formula unit
Crystal system: trigonal
SG: P-31c, No. 163

Structure (POSCAR):
```
AcHfPaS6
1.0
6.726 0.000 0.000
-3.363 5.825 0.000
0.000 0.000 12.744
Ac Hf Pa S
2 2 2 12
Direct
0.000 0.000 0.000
0.000 0.000 0.500
0.333 0.667 0.250
0.667 0.333 0.750
0.333 0.667 0.750
0.667 0.333 0.250
0.011 0.374 0.134
0.011 0.637 0.366
0.363 0.374 0.366
0.363 0.989 0.134
0.374 0.011 0.634
0.374 0.363 0.866
0.626 0.637 0.134
0.626 0.989 0.366
0.637 0.011 0.866
0.637 0.626 0.634
0.989 0.363 0.634
0.989 0.626 0.866
```

=====

[9]
Entry from the Alexandria database: a relaxed structure of AcHfPb (PBE).

Properties
Energy: -5.76 eV per atom
Size of the total moment: 0.00 μB per formula unit
Crystal system: hexagonal
SG: P-6m2, No. 187
ΔE_f: 162 meV per atom

Structure (POSCAR):
```
AcHfPb
1.0
3.533 0.000 0.000
-1.767 3.060 0.000
0.000 0.000 16.812
Ac Hf Pb
2 2 2
Direct
0.000 0.000 0.185
0.000 0.000 0.815
0.667 0.333 0.353
0.667 0.333 0.647
0.000 0.000 0.500
0.667 0.333 0.000
```

=====

[10]
Entry from the Alexandria database: a relaxed structure of AcHfPb2 (PBE).

Properties
Energy: -5.47 eV per atom
Size of the total moment: 0.00 μB per formula unit
Crystal system: tetragonal
SG: P4/mmm, No. 123
ΔE_f: -101 meV per atom

Structure (POSCAR):
```
AcHfPb2
1.0
4.047 0.000 0.000
0.000 4.047 0.000
0.000 0.000 7.117
Ac Hf Pb
1 1 2
Direct
0.000 0.000 0.000
0.000 0.000 0.500
0.500 0.500 0.288
0.500 0.500 0.712
```

=====

[11]
Entry from the Alexandria database: a relaxed structure of AcHfPb2 (PBE).

Properties
Energy: -5.15 eV per atom
Size of the total moment: 0.00 μB per formula unit
Crystal system: trigonal
SG: R-3m, No. 166
ΔE_f: 219 meV per atom

Structure (POSCAR):
```
AcHfPb2
1.0
1.751 1.011 11.912
-1.751 1.011 11.912
0.000 -2.022 11.912
Ac Hf Pb
1 1 2
Direct
0.000 0.000 0.000
0.500 0.500 0.500
0.096 0.096 0.096
0.904 0.904 0.904
```

=====

[12]
Entry from the Alexandria database: a relaxed structure of Ac2HfPb (PBE).

Properties
Energy: -5.04 eV per atom
Size of the total moment: 0.47 μB per formula unit
Crystal system: trigonal
SG: R-3m, No. 166
ΔE_f: 434 meV per atom

Structure (POSCAR):
```
Ac2HfPb
1.0
1.777 1.026 12.448
-1.777 1.026 12.448
0.000 -2.052 12.448
Ac Hf Pb
2 1 1
Direct
0.087 0.087 0.087
0.913 0.913 0.913
0.000 0.000 0.000
0.500 0.500 0.500
```

=====

[13]
Entry from the Alexandria database: a relaxed structure of AcHfPd2 (PBE).

Properties
Energy: -6.73 eV per atom
Polymorph energy (0 for the lowest one): 0.13 eV/f.u.
Size of the total moment: 0.00 μB per formula unit
Crystal system: tetragonal
SG: P4/mmm, No. 123
ΔE_f: -619 meV per atom

Structure (POSCAR):
```
AcHfPd2
1.0
3.473 0.000 0.000
0.000 3.473 0.000
0.000 0.000 7.487
Ac Hf Pd
1 1 2
Direct
0.000 0.000 0.000
0.000 0.000 0.500
0.500 0.500 0.308
0.500 0.500 0.692
```

=====

[14]
Entry from the Alexandria database: a relaxed structure of AcHfPd2 (PBE).

Properties
Energy: -6.56 eV per atom
Polymorph energy (0 for the lowest one): 0.81 eV/f.u.
Size of the total moment: 0.00 μB per formula unit
Crystal system: tetragonal
SG: P4/mmm, No. 123
ΔE_f: -449 meV per atom

Structure (POSCAR):
```
AcHfPd2
1.0
5.105 0.000 0.000
0.000 5.105 0.000
0.000 0.000 3.456
Ac Hf Pd
1 1 2
Direct
0.000 0.000 0.000
0.500 0.500 0.000
0.000 0.500 0.500
0.500 0.000 0.500
```

=====

[15]
Entry from the Alexandria database: a relaxed structure of AcHfPd2 (PBE).

Properties
Energy: -6.76 eV per atom
Polymorph energy (0 for the lowest one): 0.00 eV/f.u.
Size of the total moment: 0.00 μB per formula unit
Crystal system: trigonal
SG: R-3m, No. 166
ΔE_f: -650 meV per atom

Structure (POSCAR):
```
AcHfPd2
1.0
2.313 1.335 5.320
-2.313 1.335 5.320
0.000 -2.671 5.320
Ac Hf Pd
1 1 2
Direct
0.000 0.000 0.000
0.500 0.500 0.500
0.207 0.207 0.207
0.793 0.793 0.793
```

=====

[16]
Entry from the Alexandria database: a relaxed structure of Ac2HfPdS5 (PBE).

Properties
Energy: -6.59 eV per atom
Size of the total moment: 0.00 μB per formula unit
Crystal system: orthorhombic
SG: Cmc2_1, No. 36

Structure (POSCAR):
```
Ac2HfPdS5
1.0
1.993 -8.615 0.000
1.993 8.615 0.000
0.000 0.000 11.991
Ac Hf Pd S
4 2 2 10
Direct
0.113 0.887 0.500
0.124 0.876 0.122
0.876 0.124 0.622
0.887 0.113 0.000
0.187 0.813 0.817
0.813 0.187 0.317
0.426 0.574 0.247
0.574 0.426 0.747
0.049 0.951 0.864
0.291 0.709 0.464
0.299 0.701 0.170
0.345 0.655 0.815
0.497 0.503 0.577
0.503 0.497 0.077
0.655 0.345 0.315
0.701 0.299 0.670
0.709 0.291 0.964
0.951 0.049 0.364
```

=====

[17]
Entry from the Alexandria database: a relaxed structure of Ac2HfSb4Pd3 (PBE).

Properties
Energy: -5.81 eV per atom
Size of the total moment: 0.00 μB per formula unit
Crystal system: tetragonal
SG: P-4m2, No. 115

Structure (POSCAR):
```
Ac2HfSb4Pd3
1.0
4.645 0.000 0.000
0.000 4.645 0.000
0.000 0.000 11.621
Ac Hf Sb Pd
2 1 4 3
Direct
0.000 0.500 0.237
0.500 0.000 0.763
0.000 0.000 0.500
0.000 0.000 0.000
0.000 0.500 0.641
0.500 0.000 0.359
0.500 0.500 0.000
0.000 0.500 0.872
0.500 0.000 0.128
0.500 0.500 0.500
```

=====

[18]
Entry from the Alexandria database: a relaxed structure of Ac2HfPdSe5 (PBE).

Properties
Energy: -6.08 eV per atom
Size of the total moment: 0.00 μB per formula unit
Crystal system: orthorhombic
SG: Cmc2_1, No. 36

Structure (POSCAR):
```
Ac2HfPdSe5
1.0
2.068 -9.084 0.000
2.068 9.084 0.000
0.000 0.000 12.372
Ac Hf Pd Se
4 2 2 10
Direct
0.115 0.885 0.500
0.122 0.878 0.119
0.878 0.122 0.619
0.885 0.115 0.000
0.183 0.817 0.813
0.817 0.183 0.313
0.421 0.579 0.244
0.579 0.421 0.744
0.045 0.955 0.859
0.293 0.707 0.464
0.296 0.704 0.162
0.343 0.657 0.812
0.498 0.502 0.574
0.502 0.498 0.074
0.657 0.343 0.312
0.704 0.296 0.662
0.707 0.293 0.964
0.955 0.045 0.359
```

=====

[19]
Entry from the Alexandria database: a relaxed structure of Ac2HfSn4Pd3 (PBE).

Properties
Energy: -5.70 eV per atom
Size of the total moment: 0.00 μB per formula unit
Crystal system: tetragonal
SG: P-4m2, No. 115
ΔE_f: -723 meV per atom

Structure (POSCAR):
```
Ac2HfSn4Pd3
1.0
4.569 0.000 0.000
0.000 4.569 0.000
0.000 0.000 11.914
Ac Hf Sn Pd
2 1 4 3
Direct
0.000 0.500 0.240
0.500 0.000 0.760
0.000 0.000 0.500
0.000 0.000 0.000
0.000 0.500 0.644
0.500 0.000 0.356
0.500 0.500 0.000
0.000 0.500 0.871
0.500 0.000 0.129
0.500 0.500 0.500
```

=====

[20]
Entry from the Alexandria database: a relaxed structure of Ac2HfZnPd6 (PBE).

Properties
Energy: -5.59 eV per atom
Size of the total moment: 0.00 μB per formula unit
Crystal system: monoclinic
SG: C2/m, No. 12
ΔE_f: -533 meV per atom

Structure (POSCAR):
```
Ac2HfZnPd6
1.0
5.114 -2.954 0.000
5.114 2.954 0.000
-3.393 0.000 7.849
Ac Hf Zn Pd
2 1 1 6
Direct
0.222 0.222 0.167
0.778 0.778 0.833
0.000 0.000 0.500
0.500 0.500 0.000
0.253 0.253 0.752
0.254 0.746 0.248
0.254 0.746 0.752
0.746 0.254 0.248
0.746 0.254 0.752
0.747 0.747 0.248
```